DFT (PBE-GGA) results for a geometry-optimized AcPrPd3 structure.

a b c (Å): 7.1869 8.1044 8.3054
angles (deg): 90.00 90.00 90.00
Fractional coordinates of all 20 atoms:
Pr (0.7174, 0.8643, 0.5000)
Pr (0.2174, 0.6357, 0.0000)
Pd (0.1157, 0.3581, 0.2489)
Pd (0.8843, 0.6419, 0.7511)
Pd (0.0000, 0.0000, 0.2612)
Ac (0.7785, 0.3626, 0.5000)
Pd (0.6157, 0.1419, 0.7489)
Pd (0.5000, 0.5000, 0.2388)
Pd (0.3843, 0.8581, 0.2511)
Pr (0.7826, 0.3643, 0.0000)
Ac (0.2785, 0.1374, 0.0000)
Pr (0.2826, 0.1357, 0.5000)
Ac (0.2215, 0.6374, 0.5000)
Pd (0.1157, 0.3581, 0.7511)
Pd (0.0000, 0.0000, 0.7388)
Pd (0.3844, 0.8581, 0.7489)
Pd (0.8843, 0.6419, 0.2489)
Pd (0.5000, 0.5000, 0.7612)
Ac (0.7215, 0.8626, 0.0000)
Pd (0.6156, 0.1419, 0.2511)

Output
calculated volume = 24.2 Å³/atom
magnetization = 0.000 μB per cell
electronic total energy = -5.65 eV/atom
energy of formation = -0.75 eV per atom
space group = Pnnm
excess energy over the best structure of this formula in the dataset = 38 meV/atom

DFT (PBE-GGA) results for a geometry-optimized Ac2GaPt structure.

a b c (Å): 3.8206 3.8206 7.8866
angles (deg): 90.00 90.00 90.00
Fractional coordinates of all 4 atoms:
Ac (0.0000, 0.0000, 0.7666)
Ga (0.5000, 0.5000, 0.5000)
Pt (0.5000, 0.5000, 0.0000)
Ac (0.0000, 0.0000, 0.2334)

Output
calculated volume = 28.8 Å³/atom
magnetization = 0.000 μB per cell
electronic total energy = -5.06 eV/atom
energy of formation = -0.73 eV per atom
space group = P4/mmm

DFT (PBE-GGA) results for a geometry-optimized BaPdS structure.

a b c (Å): 4.4703 4.4728 8.7714
angles (deg): 81.11 108.76 87.04
Fractional coordinates of all 6 atoms:
Pd (0.3375, 0.3368, 0.8078)
S (0.5275, 0.4803, 0.3374)
Ba (0.0308, 0.0698, 0.1173)
S (0.4004, 0.8066, 0.8938)
Pd (0.0829, 0.4586, 0.4248)
Ba (0.7181, 0.8890, 0.6159)

Output
calculated volume = 27.2 Å³/atom
magnetization = 0.000 μB per cell
electronic total energy = -4.96 eV/atom
space group = P1
formation energy from raw total energies = -1.2119 eV/atom

DFT (PBE-GGA) results for a geometry-optimized BiPI2 structure.

a b c (Å): 8.5711 8.5711 6.9636
angles (deg): 52.02 52.02 90.00
Fractional coordinates of all 8 atoms:
I (0.1625, 0.6250, 0.2500)
I (0.3750, 0.4125, 0.7500)
P (0.2500, 0.7500, 0.5000)
Bi (0.7500, 0.2500, 0.5000)
I (0.8750, 0.8375, 0.7500)
P (0.5000, 0.5000, 0.0000)
Bi (0.0000, 0.0000, 0.0000)
I (0.5875, 0.1250, 0.2500)

Output
calculated volume = 31.5 Å³/atom
magnetization = 0.000 μB per cell
electronic total energy = -2.50 eV/atom
space group = I-42d
formation energy from raw total energies = 0.5933 eV/atom
excess energy over the best structure of this formula in the dataset = 0 meV/atom

DFT (PBE-GGA) results for a geometry-optimized BeMo3Ru structure.

a b c (Å): 4.6641 4.6641 4.6641
angles (deg): 90.00 90.00 90.00
Fractional coordinates of all 5 atoms:
Mo (0.0000, 0.5000, 0.0000)
Ru (0.0000, 0.0000, 0.0000)
Be (0.5000, 0.5000, 0.5000)
Mo (0.0000, 0.0000, 0.5000)
Mo (0.5000, 0.0000, 0.0000)

Output
calculated volume = 20.3 Å³/atom
magnetization = 0.000 μB per cell
electronic total energy = -7.22 eV/atom
energy of formation = 1.88 eV per atom
space group = Pm-3m
excess energy over the best structure of this formula in the dataset = 1149 meV/atom

DFT (PBE-GGA) results for a geometry-optimized Na2PbCl4 structure.

a b c (Å): 4.0065 6.9775 13.5433
angles (deg): 90.00 90.00 106.68
Fractional coordinates of all 14 atoms:
Cl (0.2240, 0.4481, 0.8797)
Na (0.1254, 0.2507, 0.4378)
Pb (0.6203, 0.2407, 0.7500)
Na (0.8746, 0.7493, 0.9378)
Cl (0.7760, 0.5519, 0.1203)
Cl (0.0359, 0.0718, 0.2500)
Cl (0.5000, 0.0000, 0.5000)
Pb (0.3797, 0.7593, 0.2500)
Cl (0.2240, 0.4481, 0.6203)
Cl (0.9641, 0.9282, 0.7500)
Cl (0.5000, 0.0000, 0.0000)
Cl (0.7760, 0.5519, 0.3797)
Na (0.1254, 0.2507, 0.0622)
Na (0.8746, 0.7493, 0.5622)

Output
calculated volume = 25.9 Å³/atom
magnetization = 0.000 μB per cell
electronic total energy = -3.47 eV/atom
space group = Cmcm
formation energy from raw total energies = -1.5108 eV/atom
excess energy over the best structure of this formula in the dataset = 10 meV/atom